1.
First-principles (PBE) data for crystalline La5Tc3 at its relaxed geometry, as listed in the Alexandria database.

The space group is P6_3/mcm (No. 193) and the conventional cell measures 8.4206, 8.4206 and 6.7719 Å, with angles of 90.00, 90.00 and 120.00 degrees. Symmetry generates all atoms from La at (0.0000, 0.2548, 0.2500), La at (0.3333, 0.6667, 0.0000) and Tc at (0.0000, 0.3787, 0.7500).

As for the polymorph energy (0 for the lowest one): 0.066 eV per atom. Its volume is 415.8 Å³ per cell.

2.
First-principles (PBE) data for crystalline Nd3YHg4 at its relaxed geometry, as listed in the Alexandria database.

The space group is R-3m (No. 166, hexagonal axes) and the conventional cell measures 5.3856, 5.3856 and 26.4901 Å, with angles of 90.00, 90.00 and 120.00 degrees. Symmetry generates all atoms from Nd at (0.0000, 0.0000, 0.0000), Nd at (0.0000, 0.0000, 0.2498), Y at (0.0000, 0.0000, 0.5000), Hg at (0.0000, 0.0000, 0.1267) and Hg at (0.0000, 0.0000, 0.3771).

Its volume is 665.4 Å³ per cell. The total energy is -3.223 eV/atom.